Record 1
The following is a DFT calculation (PBE-GGA) of a relaxed structure of K4Np3CoS8.

Summary:
DFT total energy: -6.377 eV per atom
Calculated density: 4.88 g cm⁻³
Fermi-level density of states: 36.19 states/eV/f.u.
Symmetry: No. 166
Formation energy without anion corrections: -1.169 eV/atom

abc: 7.959 8.657 7.960
angles: 117.37 120.00 90.00
Fractional positions:
S  0.739  0.694  0.966
S  0.773  0.306  0.034
S  0.227  0.694  0.966
S  0.773  0.306  0.545
S  0.227  0.694  0.455
S  0.261  0.306  0.034
S  0.735  0.704  0.469
S  0.265  0.296  0.531
Np  0.000  0.500  0.500
Np  0.500  0.500  0.000
Np  0.500  0.500  0.500
K  0.000  0.000  0.000
K  0.000  0.000  0.500
K  0.500  0.000  0.500
K  0.500  0.000  0.000
Co  0.000  0.500  0.000

Record 2
The following is a DFT calculation (PBE-GGA) of a relaxed structure of SmZnGe2.

Summary:
DFT total energy: -4.298 eV per atom
Calculated density: 7.35 g cm⁻³
Fermi-level density of states: 1.37 states/eV/f.u.
Symmetry: No. 139

abc: 4.126 4.126 10.011
angles: 101.89 101.89 90.00
Fractional positions:
Zn  0.250  0.750  0.500
Zn  0.750  0.250  0.500
Sm  0.116  0.116  0.232
Sm  0.884  0.884  0.768
Ge  0.500  0.000  0.000
Ge  0.000  0.500  0.000
Ge  0.662  0.662  0.325
Ge  0.338  0.338  0.675

Record 3
The following is a DFT calculation (PBE-GGA) of a relaxed structure of NaCaAgPb.

Summary:
DFT total energy: -2.716 eV per atom
Calculated density: 6.40 g cm⁻³
Fermi-level density of states: 0.93 states/eV/f.u.
Symmetry: No. 216

abc: 5.177 5.177 5.177
angles: 60.00 60.00 60.00
Fractional positions:
Na  0.750  0.750  0.750
Ca  0.000  0.000  0.000
Ag  0.250  0.250  0.250
Pb  0.500  0.500  0.500

Record 4
The following is a DFT calculation (PBE-GGA) of a relaxed structure of SrTbGe2.

Summary:
DFT total energy: -4.341 eV per atom
Calculated density: 5.80 g cm⁻³
Fermi-level density of states: 3.38 states/eV/f.u.
Symmetry: No. 166

abc: 4.789 4.789 6.290
angles: 67.63 67.63 60.00
Fractional positions:
Sr  0.500  0.500  0.500
Ge  0.266  0.266  0.202
Ge  0.734  0.734  0.798
Tb  0.000  0.000  0.000

Record 5
The following is a DFT calculation (PBE-GGA) of a relaxed structure of Tm12FePd6.

Summary:
DFT total energy: -5.410 eV per atom
Calculated density: 9.05 g cm⁻³
Fermi-level density of states: 15.44 states/eV/f.u.
Symmetry: No. 148

abc: 8.051 8.051 8.051
angles: 99.14 99.14 99.14
Fractional positions:
Tm  0.581  0.425  0.820
Tm  0.820  0.581  0.425
Tm  0.076  0.968  0.314
Tm  0.924  0.032  0.686
Tm  0.314  0.076  0.968
Tm  0.180  0.419  0.575
Tm  0.686  0.924  0.032
Tm  0.425  0.820  0.581
Tm  0.575  0.180  0.419
Tm  0.968  0.314  0.076
Tm  0.032  0.686  0.924
Tm  0.419  0.575  0.180
Pd  0.625  0.312  0.133
Pd  0.375  0.688  0.867
Pd  0.312  0.133  0.625
Pd  0.688  0.867  0.375
Pd  0.133  0.625  0.312
Pd  0.867  0.375  0.688
Fe  0.000  0.000  0.000

Record 6
The following is a DFT calculation (PBE-GGA) of a relaxed structure of Co2HgSe.

Summary:
DFT total energy: -3.935 eV per atom
Calculated density: 10.42 g cm⁻³
Fermi-level density of states: 6.05 states/eV/f.u.
Symmetry: No. 119
Formation energy without anion corrections: 0.564 eV/atom

abc: 5.185 5.185 5.185
angles: 137.31 137.31 61.96
Fractional positions:
Co  0.250  0.750  0.500
Co  0.000  0.000  0.000
Hg  0.500  0.500  0.000
Se  0.750  0.250  0.500

Record 7
The following is a DFT calculation (PBE-GGA) of a relaxed structure of TiSbP2.

Summary:
DFT total energy: -5.743 eV per atom
Calculated density: 3.81 g cm⁻³
Fermi-level density of states: 3.69 states/eV/f.u.
Symmetry: No. 122
Formation energy without anion corrections: -0.034 eV/atom

abc: 5.880 5.880 7.172
angles: 65.80 65.80 90.00
Fractional positions:
P  0.585  0.125  0.250
P  0.375  0.415  0.750
P  0.165  0.625  0.250
P  0.875  0.835  0.750
Sb  0.750  0.250  0.500
Sb  0.000  0.000  0.000
Ti  0.250  0.750  0.500
Ti  0.500  0.500  0.000

Record 8
The following is a DFT calculation (PBE-GGA) of a relaxed structure of Cs3AgF.

Summary:
DFT total energy: -2.461 eV per atom
Calculated density: 3.94 g cm⁻³
Fermi-level density of states: 4.26 states/eV/f.u.
Symmetry: No. 221
Formation energy without anion corrections: -1.004 eV/atom

abc: 6.053 6.053 6.053
angles: 90.00 90.00 90.00
Fractional positions:
Cs  0.000  0.500  0.000
Cs  0.500  0.000  0.000
Cs  0.000  0.000  0.500
F  0.000  0.000  0.000
Ag  0.500  0.500  0.500

Record 9
The following is a DFT calculation (PBE-GGA) of a relaxed structure of LiCd6Au.

Summary:
DFT total energy: -1.427 eV per atom
Calculated density: 8.59 g cm⁻³
Fermi-level density of states: 2.30 states/eV/f.u.
Symmetry: No. 2

abc: 7.439 8.084 5.478
angles: 43.92 48.30 58.08
Fractional positions:
Li  0.500  0.500  0.500
Au  0.000  0.000  0.000
Cd  0.749  0.949  0.760
Cd  0.251  0.051  0.240
Cd  0.057  0.551  0.142
Cd  0.454  0.252  0.345
Cd  0.546  0.748  0.655
Cd  0.943  0.449  0.858

Record 10
The following is a DFT calculation (PBE-GGA) of a relaxed structure of SmRhAu.

Summary:
DFT total energy: -5.721 eV per atom
Calculated density: 12.23 g cm⁻³
Fermi-level density of states: 1.64 states/eV/f.u.
Symmetry: No. 63

abc: 5.154 5.708 4.889
angles: 90.00 121.81 90.00
Fractional positions:
Rh  0.310  0.750  0.119
Rh  0.690  0.250  0.881
Sm  0.659  0.750  0.819
Sm  0.341  0.250  0.181
Au  0.000  0.000  0.500
Au  0.000  0.500  0.500

Record 11
The following is a DFT calculation (PBE-GGA) of a relaxed structure of CdAgI.

Summary:
DFT total energy: -1.925 eV per atom
Calculated density: 6.22 g cm⁻³
Fermi-level density of states: 0.37 states/eV/f.u.
Symmetry: No. 1
Formation energy without anion corrections: -0.153 eV/atom

abc: 4.412 4.412 9.618
angles: 95.34 95.25 92.34
Fractional positions:
I  0.881  0.360  0.899
I  0.322  0.796  0.572
Ag  0.769  0.726  0.362
Ag  0.254  0.241  0.361
Cd  0.710  0.181  0.163
Cd  0.221  0.692  0.151